# 1
First-principles (GGA-PBEsol) data for a geometry-optimized Cd2CoSb structure, as listed in Alexandria.

Summary:
Raw total energy, eV/atom: -3.5653
D(E_F), states/eV/cell: 3.03
Energy relative to the elements, uncorrected, eV per atom: 0.11
Theoretical density, g cm⁻³: 8.75

POSCAR file:
```
Cd2CoSb
1.0
-1.006 1.393 -2.389
-2.698 -2.967 -0.595
-2.432 3.950 5.140
Cd Sb Co
2 1 1
direct
0.186 0.186 0.372
0.814 0.814 0.628
0.000 0.500 0.000
0.500 0.000 0.000
```

---

# 2
First-principles (GGA-PBEsol) data for a geometry-optimized TlIn2Hg structure, as listed in Alexandria.

Summary:
Raw total energy, eV/atom: -2.2837
D(E_F), states/eV/cell: 1.97
Theoretical density, g cm⁻³: 10.37
Formation energy from the elements, eV per atom: 0.01

POSCAR file:
```
TlIn2Hg
1.0
3.368 0.000 0.000
1.684 2.917 0.000
1.684 0.972 10.339
Tl Hg In
1 1 2
direct
0.502 0.502 0.494
0.252 0.252 0.243
0.748 0.748 0.756
0.998 0.998 0.007
```

---

# 3
First-principles (GGA-PBEsol) data for a geometry-optimized Sc2TaCd structure, as listed in Alexandria.

Summary:
Raw total energy, eV/atom: -6.6368
D(E_F), states/eV/cell: 5.01
Theoretical density, g cm⁻³: 8.00
Formation energy from the elements, eV per atom: 0.10

POSCAR file:
```
Sc2TaCd
1.0
-0.019 3.735 1.897
-4.281 0.348 -0.730
-0.809 -1.942 3.816
Sc Cd Ta
2 1 1
direct
0.000 0.500 0.000
0.000 0.000 0.500
0.500 0.000 0.000
0.500 0.500 0.500
```

---

# 4
First-principles (GGA-PBEsol) data for a geometry-optimized CdInSb2 structure, as listed in Alexandria.

Summary:
Raw total energy, eV/atom: -3.2887
D(E_F), states/eV/cell: 1.85
Energy relative to the elements, uncorrected, eV per atom: 0.03
Theoretical density, g cm⁻³: 7.42

POSCAR file:
```
CdInSb2
1.0
3.031 0.000 -0.149
0.000 4.109 0.000
-1.023 0.000 8.513
Sb In Cd
2 1 1
direct
0.933 0.000 0.000
0.815 0.500 0.744
0.074 0.500 0.273
0.678 0.000 0.482
```

---

# 5
First-principles (GGA-PBEsol) data for a geometry-optimized AlHSe2 structure, as listed in Alexandria.

Summary:
Raw total energy, eV/atom: -4.2760
D(E_F), states/eV/cell: 0.00
Theoretical density, g cm⁻³: 3.58

POSCAR file:
```
AlHSe2
1.0
-1.985 4.724 1.469
-3.671 -0.343 -3.841
-3.779 -2.788 3.860
Al H Se
2 2 4
direct
0.625 0.840 0.750
0.625 0.840 0.250
0.100 0.867 0.500
0.679 0.375 0.000
0.387 0.593 0.500
0.398 0.098 0.000
0.886 0.591 0.000
0.893 0.082 0.500
```

---

# 6
First-principles (GGA-PBEsol) data for a geometry-optimized Fe3Co structure, as listed in Alexandria.

Summary:
Raw total energy, eV/atom: -8.6548
D(E_F), states/eV/cell: 2.61
Theoretical density, g cm⁻³: 8.60
Formation energy from the elements, eV per atom: 0.00

POSCAR file:
```
Fe3Co
1.0
2.783 0.000 0.000
0.000 3.964 0.000
0.000 0.000 3.964
Fe Co
3 1
direct
0.000 0.000 0.000
0.500 0.000 0.500
0.500 0.500 0.000
0.000 0.500 0.500
```

---

# 7
First-principles (GGA-PBEsol) data for a geometry-optimized FePt2Rh structure, as listed in Alexandria.

Summary:
Raw total energy, eV/atom: -7.8864
D(E_F), states/eV/cell: 3.73
Theoretical density, g cm⁻³: 16.43
Formation energy from the elements, eV per atom: -0.13

POSCAR file:
```
FePt2Rh
1.0
2.703 0.000 0.000
0.000 4.673 0.000
0.000 -1.592 4.393
Pt Fe Rh
2 1 1
direct
0.000 0.000 0.500
0.000 0.500 0.000
0.500 0.500 0.500
0.500 0.000 0.000
```

---

# 8
First-principles (GGA-PBEsol) data for a geometry-optimized DyAl2 structure, as listed in Alexandria.

Summary:
Raw total energy, eV/atom: -4.9161
D(E_F), states/eV/cell: 4.89
Theoretical density, g cm⁻³: 6.09
Formation energy from the elements, eV per atom: -0.53

POSCAR file:
```
DyAl2
1.0
-4.139 3.620 -0.297
-2.758 1.409 4.554
0.595 5.044 2.130
Dy Al
2 4
direct
0.500 0.500 0.500
0.750 0.750 0.750
0.125 0.625 0.125
0.625 0.125 0.125
0.125 0.125 0.625
0.125 0.125 0.125
```

---

# 9
First-principles (GGA-PBEsol) data for a geometry-optimized Zn3CdSe4 structure, as listed in Alexandria.

Summary:
Raw total energy, eV/atom: -3.2996
Energy relative to the elements, uncorrected, eV per atom: -0.63
Theoretical density, g cm⁻³: 5.47

POSCAR file:
```
Zn3CdSe4
1.0
5.745 0.000 0.000
0.000 5.745 0.000
0.000 0.000 5.745
Se Zn Cd
4 3 1
direct
0.261 0.739 0.739
0.739 0.261 0.739
0.739 0.739 0.261
0.261 0.261 0.261
0.500 0.500 0.000
0.500 0.000 0.500
0.000 0.500 0.500
0.000 0.000 0.000
```

---

# 10
First-principles (GGA-PBEsol) data for a geometry-optimized Ca2MoP structure, as listed in Alexandria.

Summary:
Raw total energy, eV/atom: -5.6046
D(E_F), states/eV/cell: 2.01
Theoretical density, g cm⁻³: 3.68
Formation energy from the elements, eV per atom: -0.15

POSCAR file:
```
Ca2MoP
1.0
-4.031 0.260 0.336
0.101 -2.628 3.241
0.513 5.592 1.830
Mo P Ca
1 1 2
direct
0.000 0.675 0.350
0.500 0.572 0.145
0.000 0.979 0.958
0.500 0.273 0.546
```

---

# 11
First-principles (GGA-PBEsol) data for a geometry-optimized ReSb2TeSe structure, as listed in Alexandria.

Summary:
Raw total energy, eV/atom: -5.3563
D(E_F), states/eV/cell: 3.76
Energy relative to the elements, uncorrected, eV per atom: 0.61
Theoretical density, g cm⁻³: 7.95

POSCAR file:
```
ReSb2TeSe
1.0
5.041 0.000 0.000
0.000 5.133 0.000
0.000 0.000 5.133
Te Sb Se Re
1 2 1 1
direct
0.500 0.000 0.000
0.000 0.000 0.500
0.000 0.500 0.000
0.500 0.500 0.500
0.000 0.000 0.000
```

---

# 12
First-principles (GGA-PBEsol) data for a geometry-optimized TaPtIN2 structure, as listed in Alexandria.

Summary:
Raw total energy, eV/atom: -5.8963
D(E_F), states/eV/cell: 4.89
Energy relative to the elements, uncorrected, eV per atom: 1.77
Theoretical density, g cm⁻³: 8.70

POSCAR file:
```
TaPtIN2
1.0
-0.954 2.881 -2.280
-0.029 -2.361 -2.971
-6.805 -1.352 1.140
Ta Pt N I
1 1 2 1
direct
0.500 0.500 0.500
0.000 0.000 0.000
0.500 0.000 0.000
0.000 0.500 0.000
0.000 0.000 0.500
```

---

# 13
First-principles (GGA-PBEsol) data for a geometry-optimized TaCuMo2 structure, as listed in Alexandria.

Summary:
Raw total energy, eV/atom: -9.9824
D(E_F), states/eV/cell: 3.24
Theoretical density, g cm⁻³: 12.09
Formation energy from the elements, eV per atom: 0.12

POSCAR file:
```
TaCuMo2
1.0
2.676 0.011 0.000
-0.711 2.580 0.000
0.000 0.000 8.672
Mo Cu Ta
2 1 1
direct
0.000 0.000 0.765
0.000 0.000 0.235
0.500 0.500 0.000
0.500 0.500 0.500
```

---

# 14
First-principles (GGA-PBEsol) data for a geometry-optimized Rb2Si3SnO9 structure, as listed in Alexandria.

Summary:
Raw total energy, eV/atom: -7.1986
D(E_F), states/eV/cell: 0.00
Energy relative to the elements, uncorrected, eV per atom: -2.48
Theoretical density, g cm⁻³: 4.01

POSCAR file:
```
Rb2Si3SnO9
1.0
-5.581 -3.966 1.455
5.141 0.666 4.702
-4.676 8.038 3.974
Si O Rb Sn
6 18 4 2
direct
0.248 0.383 0.750
0.865 0.248 0.250
0.752 0.617 0.250
0.383 0.135 0.250
0.617 0.865 0.750
0.135 0.752 0.750
0.773 0.745 0.387
0.913 0.506 0.250
0.087 0.494 0.750
0.506 0.593 0.750
0.745 0.972 0.887
0.972 0.227 0.387
0.494 0.407 0.250
0.255 0.028 0.387
0.227 0.255 0.613
0.028 0.773 0.613
0.227 0.255 0.887
0.972 0.227 0.113
0.255 0.028 0.113
0.593 0.087 0.250
0.745 0.972 0.613
0.407 0.913 0.750
0.773 0.745 0.113
0.028 0.773 0.887
0.667 0.333 0.942
0.333 0.667 0.058
0.333 0.667 0.442
0.667 0.333 0.558
0.000 0.000 0.000
0.000 0.000 0.500
```

---

# 15
First-principles (GGA-PBEsol) data for a geometry-optimized SrAlCu3 structure, as listed in Alexandria.

Summary:
Raw total energy, eV/atom: -2.2401
D(E_F), states/eV/cell: 3.18
Theoretical density, g cm⁻³: 3.72
Formation energy from the elements, eV per atom: 1.55

POSCAR file:
```
SrAlCu3
1.0
5.148 0.000 0.000
0.000 5.148 0.000
0.000 0.000 5.148
Cu Sr Al
3 1 1
direct
0.000 0.000 0.500
0.500 0.000 0.000
0.000 0.500 0.000
0.000 0.000 0.000
0.500 0.500 0.500
```

---

# 16
First-principles (GGA-PBEsol) data for a geometry-optimized Pb2WO5 structure, as listed in Alexandria.

Summary:
Raw total energy, eV/atom: -7.6734
D(E_F), states/eV/cell: 0.00
Energy relative to the elements, uncorrected, eV per atom: -1.67
Theoretical density, g cm⁻³: 8.10

POSCAR file:
```
Pb2WO5
1.0
-3.180 4.747 1.023
-5.101 -2.406 -4.689
0.452 -4.566 6.124
W Pb O
2 4 10
direct
0.831 0.341 0.662
0.169 0.659 0.338
0.136 0.112 0.272
0.490 0.746 0.980
0.864 0.888 0.728
0.510 0.254 0.020
0.912 0.601 0.825
0.746 0.000 0.000
0.608 0.217 0.707
0.392 0.783 0.293
0.901 0.783 0.293
0.699 0.311 0.398
0.099 0.217 0.707
0.088 0.399 0.175
0.254 0.000 0.000
0.301 0.689 0.602
```

---

# 17
First-principles (GGA-PBEsol) data for a geometry-optimized LiCa2Y structure, as listed in Alexandria.

Summary:
Raw total energy, eV/atom: -3.1162
D(E_F), states/eV/cell: 2.99
Theoretical density, g cm⁻³: 2.21
Formation energy from the elements, eV per atom: 0.15

POSCAR file:
```
LiCa2Y
1.0
3.936 0.000 0.000
0.000 5.794 0.000
0.000 0.000 5.794
Li Ca Y
1 2 1
direct
0.500 0.500 0.500
0.000 0.000 0.500
0.000 0.500 0.000
0.500 0.000 0.000
```

---

# 18
First-principles (GGA-PBEsol) data for a geometry-optimized BaCdAu4 structure, as listed in Alexandria.

Summary:
Raw total energy, eV/atom: -3.5336
D(E_F), states/eV/cell: 3.38
Theoretical density, g cm⁻³: 13.53
Formation energy from the elements, eV per atom: -0.36

POSCAR file:
```
BaCdAu4
1.0
-0.999 -0.068 -5.558
-2.417 -4.516 -2.380
-5.301 0.318 -1.921
Au Ba Cd
4 1 1
direct
0.878 0.374 0.374
0.374 0.878 0.374
0.374 0.374 0.878
0.374 0.374 0.374
0.750 0.750 0.750
0.000 0.000 0.000
```

---

# 19
First-principles (GGA-PBEsol) data for a geometry-optimized CuRh2 structure, as listed in Alexandria.

Summary:
Raw total energy, eV/atom: -6.7850
D(E_F), states/eV/cell: 4.29
Theoretical density, g cm⁻³: 11.54
Formation energy from the elements, eV per atom: 0.09

POSCAR file:
```
CuRh2
1.0
2.666 0.000 0.000
0.000 2.666 0.000
-1.333 -1.333 5.453
Cu Rh
1 2
direct
0.000 0.000 0.000
0.667 0.667 0.333
0.333 0.333 0.667
```

---

# 20
First-principles (GGA-PBEsol) data for a geometry-optimized SrLaNiO4 structure, as listed in Alexandria.

Summary:
Raw total energy, eV/atom: -7.3251
D(E_F), states/eV/cell: 0.67
Energy relative to the elements, uncorrected, eV per atom: -2.42
Theoretical density, g cm⁻³: 6.58

POSCAR file:
```
SrLaNiO4
1.0
3.811 0.000 0.000
0.000 3.811 0.000
-1.905 -1.905 6.067
O La Sr Ni
4 1 1 1
direct
0.166 0.166 0.333
0.994 0.494 0.989
0.494 0.994 0.989
0.840 0.840 0.681
0.361 0.361 0.722
0.640 0.640 0.279
0.004 0.004 0.008
```